DFT (PBE) results for a geometry-optimized CoSi3B structure.

## Properties
The crystal system is cubic. The mass density comes out at 3.3 g cm⁻³. Its total magnetization is 0.00 μB/atom. The uncorrected formation energy is 4.98 eV per formula unit.

Unit cell a=4.271 b=4.271 c=4.271 alpha=90.00 beta=90.00 gamma=90.00
Sites, in units of the cell vectors:
Si (0.000, 0.500, 0.000)
Si (0.000, 0.000, 0.500)
Si (0.500, 0.000, 0.000)
B (0.500, 0.500, 0.500)
Co (0.000, 0.000, 0.000)

DFT (PBE) results for a geometry-optimized ScCuBr2 structure.

## Properties
The crystal system is orthorhombic. The mass density comes out at 3.9 g cm⁻³. Its total magnetization is 0.17 μB/atom. The uncorrected formation energy is -1.31 eV per formula unit.

Unit cell a=3.573 b=3.573 c=10.374 alpha=90.00 beta=90.00 gamma=120.62
Each line ends with the local moment (μB).
Sites, in units of the cell vectors:
Br (0.000, 0.000, 0.940)  0.03
Br (0.000, 0.000, 0.560)  0.03
Cu (0.500, 0.500, 0.250)  0.00
Sc (0.500, 0.500, 0.750)  0.40

DFT (PBE) results for a geometry-optimized LuHfTcRh structure.

## Properties
The crystal system is cubic. The mass density comes out at 12.8 g cm⁻³. The total energy comes out at -8.69 eV/atom. Its total magnetization is 0.00 μB/atom.

Unit cell a=4.664 b=4.664 c=4.664 alpha=60.00 beta=60.00 gamma=60.00
Sites, in units of the cell vectors:
Rh (0.000, 0.000, 0.000)
Lu (0.250, 0.250, 0.250)
Hf (0.750, 0.750, 0.750)
Tc (0.500, 0.500, 0.500)

DFT (PBE) results for a geometry-optimized Li6BiAu12 structure.

## Properties
The crystal system is trigonal. The mass density comes out at 12.1 g cm⁻³. The total energy comes out at -3.17 eV/atom. Its total magnetization is 0.00 μB/atom.

Unit cell a=7.298 b=7.298 c=7.298 alpha=102.08 beta=102.08 gamma=102.08
Sites, in units of the cell vectors:
Li (0.835, 0.836, 0.561)
Li (0.439, 0.165, 0.164)
Li (0.164, 0.439, 0.165)
Li (0.165, 0.164, 0.439)
Li (0.561, 0.835, 0.836)
Li (0.836, 0.561, 0.835)
Bi (0.000, 0.000, 0.000)
Au (0.809, 0.411, 0.411)
Au (0.411, 0.809, 0.411)
Au (0.411, 0.411, 0.809)
Au (0.191, 0.589, 0.589)
Au (0.589, 0.191, 0.589)
Au (0.589, 0.589, 0.191)
Au (0.000, 0.730, 0.270)
Au (0.270, 0.730, 0.000)
Au (0.730, 0.000, 0.270)
Au (0.000, 0.270, 0.730)
Au (0.730, 0.270, 0.000)
Au (0.270, 0.000, 0.730)

DFT (PBE) results for a geometry-optimized AlNi3Au structure.

## Properties
The crystal system is cubic. The mass density comes out at 8.6 g cm⁻³. The total energy comes out at -4.23 eV/atom. Its total magnetization is 0.00 μB/atom.

Unit cell a=4.261 b=4.261 c=4.261 alpha=90.00 beta=90.00 gamma=90.00
Sites, in units of the cell vectors:
Ni (0.000, 0.500, 0.000)
Ni (0.000, 0.000, 0.500)
Ni (0.500, 0.000, 0.000)
Au (0.500, 0.500, 0.500)
Al (0.000, 0.000, 0.000)

DFT (PBE) results for a geometry-optimized DyHoSi structure.

## Properties
The crystal system is cubic. The mass density comes out at 7.4 g cm⁻³. Its total magnetization is 0.00 μB/atom. The uncorrected formation energy is -1.40 eV per formula unit.

Unit cell a=4.829 b=4.829 c=4.829 alpha=60.00 beta=60.00 gamma=60.00
Sites, in units of the cell vectors:
Si (0.250, 0.250, 0.250)
Ho (0.000, 0.000, 0.000)
Dy (0.500, 0.500, 0.500)

DFT (PBE) results for a geometry-optimized Sm2Ho3Tm2 structure.

## Properties
The crystal system is monoclinic. The mass density comes out at 8.4 g cm⁻³. The total energy comes out at -4.47 eV/atom. Its total magnetization is 0.00 μB/atom.

Unit cell a=3.489 b=8.472 c=8.867 alpha=118.54 beta=101.35 gamma=90.00
Sites, in units of the cell vectors:
Sm (0.566, 0.912, 0.133)
Sm (0.434, 0.088, 0.867)
Ho (0.000, 0.500, 0.000)
Ho (0.212, 0.799, 0.423)
Ho (0.788, 0.201, 0.577)
Tm (0.850, 0.668, 0.701)
Tm (0.150, 0.332, 0.299)

DFT (PBE) results for a geometry-optimized Nd3TmHg5 structure.

## Properties
The crystal system is hexagonal. The mass density comes out at 10.8 g cm⁻³. The total energy comes out at -2.69 eV/atom. Its total magnetization is 0.00 μB/atom.

Unit cell a=6.645 b=9.270 c=9.271 alpha=120.00 beta=90.00 gamma=90.00
Sites, in units of the cell vectors:
Nd (0.750, 0.372, 0.372)
Nd (0.750, 0.000, 0.628)
Nd (0.750, 0.628, 0.000)
Nd (0.250, 0.628, 0.628)
Nd (0.250, 0.000, 0.372)
Nd (0.250, 0.372, 0.000)
Tm (0.000, 0.000, 0.000)
Tm (0.500, 0.000, 0.000)
Hg (0.000, 0.667, 0.333)
Hg (0.500, 0.333, 0.667)
Hg (0.000, 0.333, 0.667)
Hg (0.500, 0.667, 0.333)
Hg (0.750, 0.708, 0.708)
Hg (0.750, 0.000, 0.292)
Hg (0.750, 0.292, 0.000)
Hg (0.250, 0.292, 0.292)
Hg (0.250, 0.000, 0.708)
Hg (0.250, 0.708, 0.000)